Run a
Density functional theory data (PBEsol) for crystalline CrNiAg2 at its relaxed geometry.

Structure (extended XYZ):
```
4
Lattice="4.604 -1.412 0.000 4.604 1.412 0.000 -1.028 0.000 4.478" Properties=species:S:1:pos:R:3 pbc="T T T"
Cr 0.000 0.000 0.000
Ni 4.090 0.000 2.239
Ag 1.470 0.000 3.330
Ag 6.709 0.000 1.148
```

The density of states at the Fermi level is 3.4 states/eV/cell.



Run b
Density functional theory data (PBEsol) for crystalline CrNiAg2 at its relaxed geometry.

Structure (extended XYZ):
```
4
Lattice="2.730 0.000 0.000 0.000 4.534 0.000 -0.407 0.000 4.762" Properties=species:S:1:pos:R:3 pbc="T T T"
Cr 0.000 0.000 0.000
Ni 1.161 0.000 2.381
Ag 0.431 2.267 3.547
Ag 1.891 2.267 1.215
```

The density of states at the Fermi level is 3.4 states/eV/cell.



Run c
Density functional theory data (PBEsol) for crystalline CrNiAg2 at its relaxed geometry.

Structure (extended XYZ):
```
4
Lattice="0.000 3.085 3.085 3.085 0.000 3.085 3.085 3.085 0.000" Properties=species:S:1:pos:R:3 pbc="T T T"
Cr 0.000 0.000 0.000
Ni 3.085 3.085 3.085
Ag 1.543 1.543 1.543
Ag 4.628 4.628 4.628
```

The density of states at the Fermi level is 4.6 states/eV/cell.



Least stable of them? run b.



Run a
Density functional theory data (PBEsol) for crystalline CrAgPb2 at its relaxed geometry.

Structure (extended XYZ):
```
4
Lattice="4.938 0.000 0.000 0.000 4.938 0.000 0.000 0.000 3.564" Properties=species:S:1:pos:R:3 pbc="T T T"
Cr 0.000 0.000 0.000
Ag 2.469 2.469 0.000
Pb 0.000 2.469 1.782
Pb 2.469 0.000 1.782
```

The density of states at the Fermi level is 1.9 states/eV/cell.



Run b
Density functional theory data (PBEsol) for crystalline CrAgPb2 at its relaxed geometry.

Structure (extended XYZ):
```
4
Lattice="0.000 3.531 3.531 3.531 0.000 3.531 3.531 3.531 0.000" Properties=species:S:1:pos:R:3 pbc="T T T"
Cr 0.000 0.000 0.000
Ag 3.531 3.531 3.531
Pb 1.766 1.766 1.766
Pb 5.297 5.297 5.297
```

The density of states at the Fermi level is 1.8 states/eV/cell.



Least stable of them? run b.



Run a
Density functional theory data (PBEsol) for crystalline CrAgPt2 at its relaxed geometry.

Structure (extended XYZ):
```
4
Lattice="2.717 0.000 0.000 0.000 2.717 0.000 0.000 0.000 7.766" Properties=species:S:1:pos:R:3 pbc="T T T"
Cr 0.000 0.000 0.000
Ag 0.000 0.000 3.883
Pt 1.358 1.358 1.726
Pt 1.358 1.358 6.040
```

The density of states at the Fermi level is 3.3 states/eV/cell.



Run b
Density functional theory data (PBEsol) for crystalline CrAgPt2 at its relaxed geometry.

Structure (extended XYZ):
```
4
Lattice="4.745 0.000 0.000 0.000 2.809 0.000 -1.652 0.000 4.517" Properties=species:S:1:pos:R:3 pbc="T T T"
Cr 0.000 0.000 0.000
Ag -0.826 1.404 2.259
Pt 1.546 0.000 2.259
Pt 2.372 1.404 0.000
```

The density of states at the Fermi level is 3.5 states/eV/cell.



Least stable of them? run b.



Run a
Density functional theory data (PBEsol) for crystalline CrAgSb at its relaxed geometry.

Structure (extended XYZ):
```
3
Lattice="0.000 3.113 3.113 3.113 0.000 3.113 3.113 3.113 0.000" Properties=species:S:1:pos:R:3 pbc="T T T"
Cr 0.000 0.000 0.000
Ag 1.557 1.557 1.557
Sb 4.670 4.670 4.670
```

The density of states at the Fermi level is 2.1 states/eV/cell.



Run b
Density functional theory data (PBEsol) for crystalline CrAgSb at its relaxed geometry.

Structure (extended XYZ):
```
3
Lattice="-1.630 1.946 4.395 1.630 -1.946 4.395 1.630 1.946 -4.395" Properties=species:S:1:pos:R:3 pbc="T T T"
Cr 0.000 0.000 0.000
Ag 0.000 0.000 2.940
Sb 0.000 0.000 5.744
```

The density of states at the Fermi level is 1.9 states/eV/cell.



Least stable of them? run b.



Run a
Density functional theory data (PBEsol) for crystalline Tl2CrAg at its relaxed geometry.

Structure (extended XYZ):
```
4
Lattice="3.349 0.000 0.000 0.000 3.363 0.000 0.000 0.000 7.143" Properties=species:S:1:pos:R:3 pbc="T T T"
Tl 0.000 0.000 1.743
Tl 0.000 0.000 5.400
Cr 1.675 1.682 0.000
Ag 1.675 1.682 3.572
```

The density of states at the Fermi level is 2.3 states/eV/cell.



Run b
Density functional theory data (PBEsol) for crystalline Tl2CrAg at its relaxed geometry.

Structure (extended XYZ):
```
4
Lattice="-1.591 2.341 5.596 1.591 -2.341 5.596 1.591 2.341 -5.596" Properties=species:S:1:pos:R:3 pbc="T T T"
Tl 0.000 0.000 0.000
Tl 0.000 2.341 2.498
Cr 0.000 0.000 5.635
Ag 1.591 0.000 3.354
```

The density of states at the Fermi level is 2.2 states/eV/cell.



Run c
Density functional theory data (PBEsol) for crystalline Tl2CrAg at its relaxed geometry.

Structure (extended XYZ):
```
4
Lattice="1.625 0.938 9.011 -1.625 0.938 9.011 0.000 -1.876 9.011" Properties=species:S:1:pos:R:3 pbc="T T T"
Tl 0.000 0.000 6.713
Tl 0.000 0.000 20.318
Cr 0.000 0.000 13.516
Ag 0.000 0.000 0.000
```

The density of states at the Fermi level is 1.9 states/eV/cell.



Least stable of them? run c.



Run a
Density functional theory data (PBEsol) for crystalline Cr2AgW at its relaxed geometry.

Structure (extended XYZ):
```
4
Lattice="4.786 0.000 0.000 0.000 2.571 0.000 -1.983 0.000 4.474" Properties=species:S:1:pos:R:3 pbc="T T T"
Cr 0.000 0.000 0.000
Cr -0.991 1.285 2.237
Ag 1.402 0.000 2.237
W 2.393 1.285 0.000
```

The density of states at the Fermi level is 4.4 states/eV/cell.



Run b
Density functional theory data (PBEsol) for crystalline Cr2AgW at its relaxed geometry.

Structure (extended XYZ):
```
4
Lattice="-1.873 1.873 3.915 1.873 -1.873 3.915 1.873 1.873 -3.915" Properties=species:S:1:pos:R:3 pbc="T T T"
Cr 0.000 0.000 0.000
Cr 0.000 1.873 1.957
Ag 1.873 0.000 1.957
W 0.000 0.000 3.915
```

The density of states at the Fermi level is 4.0 states/eV/cell.



Run c
Density functional theory data (PBEsol) for crystalline Cr2AgW at its relaxed geometry.

Structure (extended XYZ):
```
4
Lattice="3.060 0.000 0.000 0.000 3.060 0.000 0.000 0.000 6.061" Properties=species:S:1:pos:R:3 pbc="T T T"
Cr 0.000 0.000 1.358
Cr 0.000 0.000 4.702
Ag 1.530 1.530 3.030
W 1.530 1.530 0.000
```

The density of states at the Fermi level is 5.0 states/eV/cell.



Least stable of them? run a.



Run a
Density functional theory data (PBEsol) for crystalline CsK2Ag2 at its relaxed geometry.

Structure (extended XYZ):
```
5
Lattice="-2.669 2.669 7.187 2.669 -2.669 7.187 2.669 2.669 -7.187" Properties=species:S:1:pos:R:3 pbc="T T T"
Cs 0.000 0.000 0.000
K 2.669 0.000 3.594
K 0.000 2.669 3.594
Ag 0.000 0.000 5.833
Ag 0.000 0.000 8.542
```

The density of states at the Fermi level is 2.1 states/eV/cell.



Run b
Density functional theory data (PBEsol) for crystalline CsK2Ag2 at its relaxed geometry.

Structure (extended XYZ):
```
10
Lattice="9.153 0.000 0.000 0.000 9.153 0.000 0.000 0.000 4.777" Properties=species:S:1:pos:R:3 pbc="T T T"
Cs 0.000 0.000 0.000
Cs 4.577 4.577 0.000
K 1.468 3.108 2.389
K 3.108 7.685 2.389
K 6.045 1.468 2.389
K 7.685 6.045 2.389
Ag 0.994 5.571 0.000
Ag 3.583 0.994 0.000
Ag 5.571 8.159 0.000
Ag 8.159 3.583 0.000
```

The density of states at the Fermi level is 5.5 states/eV/cell.



Least stable of them? run b.



Run a
Density functional theory data (PBEsol) for crystalline CsK3Ag at its relaxed geometry.

Structure (extended XYZ):
```
5
Lattice="6.737 0.000 0.000 0.000 6.737 0.000 0.000 0.000 6.737" Properties=species:S:1:pos:R:3 pbc="T T T"
Cs 0.000 0.000 0.000
K 0.000 3.368 3.368
K 3.368 0.000 3.368
K 3.368 3.368 0.000
Ag 3.368 3.368 3.368
```

The density of states at the Fermi level is 3.4 states/eV/cell.



Run b
Density functional theory data (PBEsol) for crystalline CsK3Ag at its relaxed geometry.

Structure (extended XYZ):
```
5
Lattice="7.698 0.000 0.000 0.000 7.698 0.000 0.000 0.000 7.698" Properties=species:S:1:pos:R:3 pbc="T T T"
Cs 0.000 0.000 0.000
K 0.000 0.000 3.849
K 0.000 3.849 0.000
K 3.849 0.000 0.000
Ag 3.849 3.849 3.849
```

The density of states at the Fermi level is 5.2 states/eV/cell.



Least stable of them? run b.